Below is an optimized crystal structure of RhPbBr2, with properties calculated at the PBE-GGA level.

abc: 5.1316 5.1316 5.1316
angles: 60.00 60.00 60.00
Sites, in units of the cell vectors:
Br 0.2500 0.2500 0.2500
Br 0.7500 0.7500 0.7500
Pb 0.5000 0.5000 0.5000
Rh 0.0000 0.0000 0.0000

Summary:
- M_tot (Bohr magnetons per cell) = 1.00
- V (Å³ per cell) = 95.6
- space-group type = Fm-3m
- total DFT energy (no corrections) (eV per atom) = -3.408
- formation energy (no corrections) (eV per atom) = 0.194
- mass density (g cm⁻³) = 8.17
- energy above the most stable polymorph in this dataset (meV/atom) = 443